## LiNbCoB (PBE)

Data for an optimized crystal structure of LiNbCoB.

Results
Volume   10.77 Å³/atom
ρ   6535 kg/m³
Crystal system   cubic
Polymorph energy (0 for the lowest one)   0 meV/atom

Structure (CIF):
```
data_LiNbCoB
_chemical_formula_sum 'Li4 Nb4 Co4 B4'
_cell_length_a 5.565
_cell_length_b 5.565
_cell_length_c 5.565
_cell_angle_alpha 90.00
_cell_angle_beta 90.00
_cell_angle_gamma 90.00
_space_group_name_H-M_alt 'F -4 3 m'
_space_group_IT_number 216
_space_group_name_Hall 'F -4 2 3'
loop_
_atom_site_label
_atom_site_type_symbol
_atom_site_fract_x
_atom_site_fract_y
_atom_site_fract_z
_atom_site_occupancy
Li1 Li 0.000 0.000 0.000 1
Nb1 Nb 0.250 0.250 0.250 1
Co1 Co 0.000 0.000 0.500 1
B1 B 0.250 0.250 0.750 1
```

## LiNbCoB (PBE)

Data for an optimized crystal structure of LiNbCoB.

Results
Volume   11.42 Å³/atom
ρ   6167 kg/m³
Crystal system   cubic
Polymorph energy (0 for the lowest one)   110 meV/atom

Structure (CIF):
```
data_LiNbCoB
_chemical_formula_sum 'Li4 Nb4 Co4 B4'
_cell_length_a 5.674
_cell_length_b 5.674
_cell_length_c 5.674
_cell_angle_alpha 90.00
_cell_angle_beta 90.00
_cell_angle_gamma 90.00
_space_group_name_H-M_alt 'F -4 3 m'
_space_group_IT_number 216
_space_group_name_Hall 'F -4 2 3'
loop_
_atom_site_label
_atom_site_type_symbol
_atom_site_fract_x
_atom_site_fract_y
_atom_site_fract_z
_atom_site_occupancy
Li1 Li 0.000 0.000 0.000 1
Nb1 Nb 0.000 0.000 0.500 1
Co1 Co 0.250 0.250 0.750 1
B1 B 0.250 0.250 0.250 1
```

## LiNbCoB (PBE)

Data for an optimized crystal structure of LiNbCoB.

Results
Volume   10.64 Å³/atom
ρ   6614 kg/m³
Crystal system   cubic
Polymorph energy (0 for the lowest one)   133 meV/atom

Structure (CIF):
```
data_LiNbCoB
_chemical_formula_sum 'Li4 Nb4 Co4 B4'
_cell_length_a 5.543
_cell_length_b 5.543
_cell_length_c 5.543
_cell_angle_alpha 90.00
_cell_angle_beta 90.00
_cell_angle_gamma 90.00
_space_group_name_H-M_alt 'F -4 3 m'
_space_group_IT_number 216
_space_group_name_Hall 'F -4 2 3'
loop_
_atom_site_label
_atom_site_type_symbol
_atom_site_fract_x
_atom_site_fract_y
_atom_site_fract_z
_atom_site_occupancy
Li1 Li 0.000 0.000 0.000 1
Nb1 Nb 0.250 0.250 0.750 1
Co1 Co 0.250 0.250 0.250 1
B1 B 0.000 0.000 0.500 1
```

## LiCoBOs (PBE)

Data for an optimized crystal structure of LiCoBOs.

Results
Volume   10.42 Å³/atom
ρ   10636 kg/m³
Crystal system   cubic
Polymorph energy (0 for the lowest one)   301 meV/atom

Structure (CIF):
```
data_LiCoBOs
_chemical_formula_sum 'Li4 Co4 B4 Os4'
_cell_length_a 5.503
_cell_length_b 5.503
_cell_length_c 5.503
_cell_angle_alpha 90.00
_cell_angle_beta 90.00
_cell_angle_gamma 90.00
_space_group_name_H-M_alt 'F -4 3 m'
_space_group_IT_number 216
_space_group_name_Hall 'F -4 2 3'
loop_
_atom_site_label
_atom_site_type_symbol
_atom_site_fract_x
_atom_site_fract_y
_atom_site_fract_z
_atom_site_occupancy
Li1 Li 0.000 0.000 0.000 1
Co1 Co 0.000 0.000 0.500 1
B1 B 0.250 0.250 0.250 1
Os1 Os 0.250 0.250 0.750 1
```

## LiCoBOs (PBE)

Data for an optimized crystal structure of LiCoBOs.

Results
Volume   9.68 Å³/atom
ρ   11443 kg/m³
Crystal system   cubic
Polymorph energy (0 for the lowest one)   0 meV/atom

Structure (CIF):
```
data_LiCoBOs
_chemical_formula_sum 'Li4 Co4 B4 Os4'
_cell_length_a 5.371
_cell_length_b 5.371
_cell_length_c 5.371
_cell_angle_alpha 90.00
_cell_angle_beta 90.00
_cell_angle_gamma 90.00
_space_group_name_H-M_alt 'F -4 3 m'
_space_group_IT_number 216
_space_group_name_Hall 'F -4 2 3'
loop_
_atom_site_label
_atom_site_type_symbol
_atom_site_fract_x
_atom_site_fract_y
_atom_site_fract_z
_atom_site_occupancy
Li1 Li 0.000 0.000 0.000 1
Co1 Co 0.250 0.250 0.750 1
B1 B 0.000 0.000 0.500 1
Os1 Os 0.250 0.250 0.250 1
```

## LiCoBPd (PBE)

Data for an optimized crystal structure of LiCoBPd.

Results
Volume   9.79 Å³/atom
ρ   7767 kg/m³
Crystal system   cubic
Polymorph energy (0 for the lowest one)   0 meV/atom

Structure (CIF):
```
data_LiCoBPd
_chemical_formula_sum 'Li4 Co4 B4 Pd4'
_cell_length_a 5.390
_cell_length_b 5.390
_cell_length_c 5.390
_cell_angle_alpha 90.00
_cell_angle_beta 90.00
_cell_angle_gamma 90.00
_space_group_name_H-M_alt 'F -4 3 m'
_space_group_IT_number 216
_space_group_name_Hall 'F -4 2 3'
loop_
_atom_site_label
_atom_site_type_symbol
_atom_site_fract_x
_atom_site_fract_y
_atom_site_fract_z
_atom_site_occupancy
Li1 Li 0.000 0.000 0.000 1
Co1 Co 0.250 0.250 0.750 1
B1 B 0.000 0.000 0.500 1
Pd1 Pd 0.250 0.250 0.250 1
```

## LiCoBPd (PBE)

Data for an optimized crystal structure of LiCoBPd.

Results
Volume   10.72 Å³/atom
ρ   7094 kg/m³
Crystal system   cubic
Polymorph energy (0 for the lowest one)   354 meV/atom

Structure (CIF):
```
data_LiCoBPd
_chemical_formula_sum 'Li4 Co4 B4 Pd4'
_cell_length_a 5.555
_cell_length_b 5.555
_cell_length_c 5.555
_cell_angle_alpha 90.00
_cell_angle_beta 90.00
_cell_angle_gamma 90.00
_space_group_name_H-M_alt 'F -4 3 m'
_space_group_IT_number 216
_space_group_name_Hall 'F -4 2 3'
loop_
_atom_site_label
_atom_site_type_symbol
_atom_site_fract_x
_atom_site_fract_y
_atom_site_fract_z
_atom_site_occupancy
Li1 Li 0.000 0.000 0.000 1
Co1 Co 0.000 0.000 0.500 1
B1 B 0.250 0.250 0.250 1
Pd1 Pd 0.250 0.250 0.750 1
```

## LiCoBPt (PBE)

Data for an optimized crystal structure of LiCoBPt.

Results
Volume   10.99 Å³/atom
ρ   10267 kg/m³
Crystal system   cubic
Polymorph energy (0 for the lowest one)   455 meV/atom

Structure (CIF):
```
data_LiCoBPt
_chemical_formula_sum 'Li4 Co4 B4 Pt4'
_cell_length_a 5.602
_cell_length_b 5.602
_cell_length_c 5.602
_cell_angle_alpha 90.00
_cell_angle_beta 90.00
_cell_angle_gamma 90.00
_space_group_name_H-M_alt 'F -4 3 m'
_space_group_IT_number 216
_space_group_name_Hall 'F -4 2 3'
loop_
_atom_site_label
_atom_site_type_symbol
_atom_site_fract_x
_atom_site_fract_y
_atom_site_fract_z
_atom_site_occupancy
Li1 Li 0.000 0.000 0.000 1
Co1 Co 0.000 0.000 0.500 1
B1 B 0.250 0.250 0.250 1
Pt1 Pt 0.250 0.250 0.750 1
```

Number 1: total DFT energy (no corrections) -6.420 eV/atom. Number 2: total DFT energy (no corrections) -6.310 eV/atom. Number 3: total DFT energy (no corrections) -6.287 eV/atom. Number 4: total DFT energy (no corrections) -6.165 eV/atom. Number 5: total DFT energy (no corrections) -6.466 eV/atom. Number 6: total DFT energy (no corrections) -5.253 eV/atom. Number 7: total DFT energy (no corrections) -4.900 eV/atom. Number 8: total DFT energy (no corrections) -5.114 eV/atom.